# 1
# LiAc2Zn3

A relaxed LiAc2Zn3 crystal (PBE-GGA, Alexandria via LeMat-Bulk).

It has space group Fmmm (No. 69), with a = 7.592 Å, b = 9.708 Å, c = 16.735 Å, α = 90.00°, β = 90.00° and γ = 90.00°. The inequivalent atoms are Li at (0.000, 0.000, 0.167), Ac at (0.249, 0.000, 0.500), Ac at (0.250, 0.250, 0.250), Zn at (0.000, 0.000, 0.334) and Zn at (0.000, 0.250, 0.083).

The spin magnetization comes out at 0.00 μB/cell. Its energy relative to the elements is -204 meV/atom. The calculation puts the calculated total energy at -121.4 eV/cell.

---

# 2
# LiAcZn10

A relaxed LiAcZn10 crystal (PBE-GGA, Alexandria via LeMat-Bulk).

It has space group Pmmm (No. 47), with a = 4.418 Å, b = 5.126 Å, c = 9.595 Å, α = 90.00°, β = 90.00° and γ = 90.00°. The inequivalent atoms are Li at (0.000, 0.000, 0.000), Ac at (0.000, 0.500, 0.500), Zn at (0.000, 0.000, 0.284), Zn at (0.000, 0.500, 0.145), Zn at (0.500, 0.000, 0.500), Zn at (0.500, 0.254, 0.254) and Zn at (0.500, 0.500, 0.000).

The spin magnetization comes out at 0.00 μB/cell. Its energy relative to the elements is -158 meV/atom. The calculation puts the calculated total energy at -20.7 eV/cell.

---

# 3
# Li2AcZn

A relaxed Li2AcZn crystal (PBE-GGA, Alexandria via LeMat-Bulk).

It has space group R3m (No. 160, hexagonal axes), with a = 4.6872 Å, b = 4.6872 Å, c = 15.8663 Å, α = 90.00°, β = 90.00° and γ = 120.00°. The inequivalent atoms are Li at (0.0000, 0.0000, 0.0000), Li at (0.0000, 0.0000, 0.2935), Ac at (0.0000, 0.0000, 0.4934) and Zn at (0.0000, 0.0000, 0.6986).

As for the energy relative to the lowest polymorph listed for this composition: 30 meV/atom. The spin magnetization comes out at 0.00 μB/cell. Its energy relative to the elements is -58 meV/atom. The calculation puts the calculated total energy at -28.3 eV/cell.

---

# 4
# Li5AcZn7

A relaxed Li5AcZn7 crystal (PBE-GGA, Alexandria via LeMat-Bulk).

It has space group Imm2 (No. 44), with a = 4.847 Å, b = 9.630 Å, c = 9.678 Å, α = 90.00°, β = 90.00° and γ = 90.00°. The inequivalent atoms are Li at (0.000, 0.000, 0.000), Li at (0.247, 0.248, 0.492), Ac at (0.000, 0.500, 0.748), Zn at (0.000, 0.000, 0.485), Zn at (0.000, 0.139, 0.744), Zn at (0.000, 0.240, 0.240), Zn at (0.000, 0.500, 0.100) and Zn at (0.000, 0.500, 0.379).

The spin magnetization comes out at 0.00 μB/cell. Its energy relative to the elements is -153 meV/atom. The calculation puts the calculated total energy at -49.2 eV/cell.

---

# 5
# Li3AcZn3

A relaxed Li3AcZn3 crystal (PBE-GGA, Alexandria via LeMat-Bulk).

It has space group P6_3/m (No. 176), with a = 9.1838 Å, b = 9.1838 Å, c = 4.3865 Å, α = 90.00°, β = 90.00° and γ = 120.00°. The inequivalent atoms are Li at (0.0422, 0.7713, 0.2500), Ac at (0.3333, 0.6667, 0.7500) and Zn at (0.0500, 0.4431, 0.2500).

As for the energy relative to the lowest polymorph listed for this composition: 0 meV/atom. The spin magnetization comes out at 0.00 μB/cell. Its energy relative to the elements is -116 meV/atom. The calculation puts the calculated total energy at -29.0 eV/cell.

---

# 6
# Li4AcZn12

A relaxed Li4AcZn12 crystal (PBE-GGA, Alexandria via LeMat-Bulk).

It has space group Im-3 (No. 204), with a = 8.810 Å, b = 8.810 Å, c = 8.810 Å, α = 90.00°, β = 90.00° and γ = 90.00°. The inequivalent atoms are Li at (0.250, 0.250, 0.250), Ac at (0.000, 0.000, 0.000) and Zn at (0.000, 0.151, 0.358).

The spin magnetization comes out at 0.00 μB/cell. Its energy relative to the elements is 149 meV/atom. The calculation puts the calculated total energy at -49.0 eV/cell.

---

# 7
# Li4AcZn2

A relaxed Li4AcZn2 crystal (PBE-GGA, Alexandria via LeMat-Bulk).

It has space group Cmmm (No. 65), with a = 4.110 Å, b = 17.477 Å, c = 4.297 Å, α = 90.00°, β = 90.00° and γ = 90.00°. The inequivalent atoms are Li at (0.000, 0.182, 0.000), Li at (0.000, 0.313, 0.500), Ac at (0.000, 0.500, 0.000) and Zn at (0.000, 0.086, 0.500).

The spin magnetization comes out at 0.00 μB/cell. Its energy relative to the elements is -108 meV/atom. The calculation puts the calculated total energy at -30.1 eV/cell.

---

# 8
# LiAc4Zn2

A relaxed LiAc4Zn2 crystal (PBE-GGA, Alexandria via LeMat-Bulk).

It has space group I4/mmm (No. 139), with a = 7.737 Å, b = 7.737 Å, c = 7.975 Å, α = 90.00°, β = 90.00° and γ = 90.00°. The inequivalent atoms are Li at (0.000, 0.000, 0.000), Ac at (0.250, 0.250, 0.250) and Zn at (0.000, 0.500, 0.000).

The spin magnetization comes out at 0.00 μB/cell. Its energy relative to the elements is -31 meV/atom. The calculation puts the calculated total energy at -42.2 eV/cell.